(1)
## LuMgGaCo (PBE)

Data for a geometry-optimized LuMgGaCo structure.

a = 4.571 Å, b = 4.571 Å, c = 4.571 Å
α = 60.00°, β = 60.00°, γ = 60.00°
Last column: magnetic moment on the atom in μB.
Fractional coordinates of all 4 atoms:
1 Co 0.750 0.750 0.750  0.45
2 Ga 0.000 0.000 0.000  0.02
3 Lu 0.500 0.500 0.500  0.02
4 Mg 0.250 0.250 0.250  0.00

Summary:
The calculated total energy comes out at -4.16 eV per atom. The total magnetization comes out at 0.540 μB/f.u.

---

(2)
## LuMgGaCo (PBE)

Data for a geometry-optimized LuMgGaCo structure.

a = 4.577 Å, b = 4.577 Å, c = 4.577 Å
α = 60.00°, β = 60.00°, γ = 60.00°
Fractional coordinates of all 4 atoms:
1 Co 0.750 0.750 0.750
2 Ga 0.000 0.000 0.000
3 Lu 0.250 0.250 0.250
4 Mg 0.500 0.500 0.500

Summary:
The calculated total energy comes out at -4.14 eV per atom. The total magnetization comes out at 0.026 μB/f.u.

---

(3)
## LuGaCoMo (PBE)

Data for a geometry-optimized LuGaCoMo structure.

a = 4.524 Å, b = 4.524 Å, c = 4.524 Å
α = 60.00°, β = 60.00°, γ = 60.00°
Last column: magnetic moment on the atom in μB.
Fractional coordinates of all 4 atoms:
1 Co 0.750 0.750 0.750  0.68
2 Ga 0.000 0.000 0.000  -0.03
3 Lu 0.500 0.500 0.500  0.23
4 Mo 0.250 0.250 0.250  1.83

Summary:
The calculated total energy comes out at -6.23 eV per atom. The total magnetization comes out at 2.810 μB/f.u.

---

(4)
## LuGaCoMo (PBE)

Data for a geometry-optimized LuGaCoMo structure.

a = 4.560 Å, b = 4.560 Å, c = 4.560 Å
α = 60.00°, β = 60.00°, γ = 60.00°
Last column: magnetic moment on the atom in μB.
Fractional coordinates of all 4 atoms:
1 Co 0.750 0.750 0.750  1.48
2 Ga 0.000 0.000 0.000  -0.04
3 Lu 0.250 0.250 0.250  0.30
4 Mo 0.500 0.500 0.500  1.29

Summary:
The calculated total energy comes out at -6.12 eV per atom. The total magnetization comes out at 3.000 μB/f.u.

---

(5)
## LuGaCoNi (PBE)

Data for a geometry-optimized LuGaCoNi structure.

a = 4.358 Å, b = 4.358 Å, c = 4.358 Å
α = 60.00°, β = 60.00°, γ = 60.00°
Last column: magnetic moment on the atom in μB.
Fractional coordinates of all 4 atoms:
1 Co 0.750 0.750 0.750  0.12
2 Ga 0.000 0.000 0.000  0.00
3 Lu 0.500 0.500 0.500  -0.01
4 Ni 0.250 0.250 0.250  0.04

Summary:
The calculated total energy comes out at -5.44 eV per atom. The total magnetization comes out at 0.149 μB/f.u.

---

(6)
## LuGaCoNi (PBE)

Data for a geometry-optimized LuGaCoNi structure.

a = 4.432 Å, b = 4.432 Å, c = 4.432 Å
α = 60.00°, β = 60.00°, γ = 60.00°
Fractional coordinates of all 4 atoms:
1 Co 0.500 0.500 0.500
2 Ga 0.000 0.000 0.000
3 Lu 0.250 0.250 0.250
4 Ni 0.750 0.750 0.750

Summary:
The calculated total energy comes out at -5.15 eV per atom. The total magnetization comes out at 1.380 μB/f.u.